## CaYPu2As4 (PBE)

Data for crystalline CaYPu2As4 at its relaxed geometry.

## Properties
**Space-group type**: P2/m, No. 10
**Formation enthalpy at 0 K**: -1.160 eV/atom
**Fermi-level density of states**: 24.1 states/eV/f.u.

```
data_CaYPu2As4
_chemical_formula_sum 'Ca1 Y1 Pu2 As4'
_symmetry_space_group_name_H-M 'P 1'
_symmetry_Int_Tables_number 1
_cell_length_a 4.164
_cell_length_b 7.146
_cell_length_c 7.226
_cell_angle_alpha 70.41
_cell_angle_beta 90.00
_cell_angle_gamma 90.00
loop_
_symmetry_equiv_pos_as_xyz
'x,y,z'
loop_
_atom_site_label
_atom_site_fract_x
_atom_site_fract_y
_atom_site_fract_z
As1 0.000 0.236 0.260
As2 0.500 0.242 0.748
As3 0.500 0.758 0.252
As4 0.000 0.764 0.740
Y1 0.000 0.500 0.500
Ca1 0.500 0.500 0.000
Pu1 0.500 0.000 0.500
Pu2 0.000 0.000 0.000
```